Here is a relaxed structure of H2PbSe from Alexandria via LeMat-Bulk. Energies are from PBE.

Structure (CIF):
```
data_H2PbSe
_chemical_formula_sum 'H4 Pb2 Se2'
_symmetry_space_group_name_H-M 'P 1 21/m 1'
_symmetry_Int_Tables_number 11
_cell_length_a 4.1312
_cell_length_b 6.2120
_cell_length_c 7.9704
_cell_angle_alpha 90.00
_cell_angle_beta 104.97
_cell_angle_gamma 90.00
loop_
_symmetry_equiv_pos_as_xyz
'x,y,z'
'-x,-y,-z'
'-x,y+1/2,-z'
'x,-y+1/2,z'
loop_
_atom_site_label
_atom_site_fract_x
_atom_site_fract_y
_atom_site_fract_z
H1 0.0198 0.1895 0.0364
Pb1 0.3068 0.7500 0.6145
Se1 0.3191 0.2500 0.6374
```

Computed properties:
ΔE to the lowest computed polymorph ... 0.00 eV/f.u.
Total magnetic moment ... 0.00 μB per formula unit
Energy ... -3.70 eV per atom

***

Here is a relaxed structure of HPbSe3 from Alexandria via LeMat-Bulk. Energies are from PBE.

Structure (CIF):
```
data_HPbSe3
_chemical_formula_sum 'H1 Pb1 Se3'
_symmetry_space_group_name_H-M 'P m -3 m'
_symmetry_Int_Tables_number 221
_symmetry_space_group_name_Hall '-P 4 2 3'
_cell_length_a 4.6117
_cell_length_b 4.6117
_cell_length_c 4.6117
_cell_angle_alpha 90.00
_cell_angle_beta 90.00
_cell_angle_gamma 90.00
loop_
_atom_site_label
_atom_site_fract_x
_atom_site_fract_y
_atom_site_fract_z
H1 0.0000 0.0000 0.0000
Pb1 0.5000 0.5000 0.5000
Se1 0.0000 0.0000 0.5000
```

Computed properties:
ΔE to the lowest computed polymorph ... 0.00 eV/f.u.
Total magnetic moment ... 0.00 μB per formula unit
Energy ... -3.06 eV per atom

***

Here is a relaxed structure of HPb2Se from Alexandria via LeMat-Bulk. Energies are from PBE.

Structure (CIF):
```
data_HPb2Se
_chemical_formula_sum 'H4 Pb8 Se4'
_symmetry_space_group_name_H-M 'F m -3 m'
_symmetry_Int_Tables_number 225
_symmetry_space_group_name_Hall '-F 4 2 3'
_cell_length_a 7.2256
_cell_length_b 7.2256
_cell_length_c 7.2256
_cell_angle_alpha 90.00
_cell_angle_beta 90.00
_cell_angle_gamma 90.00
loop_
_atom_site_label
_atom_site_fract_x
_atom_site_fract_y
_atom_site_fract_z
H1 0.0000 0.0000 0.0000
Pb1 0.2500 0.2500 0.2500
Se1 0.0000 0.0000 0.5000
```

Computed properties:
ΔE to the lowest computed polymorph ... 0.47 eV/f.u.
Total magnetic moment ... 0.00 μB per formula unit
Energy ... -3.36 eV per atom

***

Here is a relaxed structure of HPbSe2 from Alexandria via LeMat-Bulk. Energies are from PBE.

Structure (CIF):
```
data_HPbSe2
_chemical_formula_sum 'H4 Pb4 Se8'
_symmetry_space_group_name_H-M 'C 1 m 1'
_symmetry_Int_Tables_number 8
_cell_length_a 7.3454
_cell_length_b 14.3460
_cell_length_c 4.5893
_cell_angle_alpha 90.00
_cell_angle_beta 117.91
_cell_angle_gamma 90.00
loop_
_symmetry_equiv_pos_as_xyz
'x,y,z'
'x,-y,z'
'x+1/2,y+1/2,z'
'x+1/2,-y+1/2,z'
loop_
_atom_site_label
_atom_site_fract_x
_atom_site_fract_y
_atom_site_fract_z
H1 0.0000 0.1439 0.0000
Pb1 0.4428 0.1382 0.6699
Se1 0.0807 0.5000 0.2128
Se2 0.2076 0.0000 0.9190
Se3 0.3714 0.2830 0.0528
```

Computed properties:
ΔE to the lowest computed polymorph ... 0.18 eV/f.u.
Total magnetic moment ... 0.00 μB per formula unit
Energy ... -3.72 eV per atom